No. 1
Computed, not measured: crystalline TmLuZnFe at its relaxed geometry at the PBE level of DFT.

The calculation puts the energy relative to the elements at -0.453 eV/f.u. The calculation puts the total DFT energy (no corrections) at -4.796 eV/atom. The calculation puts the density of states at the Fermi level at 1.268 states/eV/atom. For the calculated volume, the calculation gives 19.5 Å³/atom. Its magnetic moment is 0.98 μB/f.u.

Lattice parameters (Å, degrees): 4.796 4.796 4.796 60.00 60.00 60.00
Atoms (fractional coordinates):
Tm: 0.000 0.000 0.000
Lu: 0.500 0.500 0.500
Zn: 0.750 0.750 0.750
Fe: 0.250 0.250 0.250

***

No. 2
Computed, not measured: crystalline PrNd2Th3As6 at its relaxed geometry at the PBE level of DFT.

The calculation puts the energy relative to the elements at -17.676 eV/f.u. The calculation puts the total DFT energy (no corrections) at -6.846 eV/atom. The calculation puts the density of states at the Fermi level at 0.464 states/eV/atom. For the calculated volume, the calculation gives 27.5 Å³/atom. Its magnetic moment is 0.00 μB/f.u.

Lattice parameters (Å, degrees): 7.397 7.397 7.382 99.63 99.63 119.93
Atoms (fractional coordinates):
Pr: 0.000 0.000 0.000
Nd: 0.333 0.667 0.000
Nd: 0.667 0.333 0.000
Th: 0.166 0.834 0.500
Th: 0.500 0.500 0.500
Th: 0.834 0.166 0.500
As: 0.085 0.419 0.254
As: 0.250 0.250 0.746
As: 0.419 0.085 0.254
As: 0.581 0.915 0.746
As: 0.750 0.750 0.254
As: 0.915 0.581 0.746

***

No. 3
Computed, not measured: crystalline La2DyCd2 at its relaxed geometry at the PBE level of DFT.

The calculation puts the energy relative to the elements at -1.209 eV/f.u. The calculation puts the total DFT energy (no corrections) at -3.499 eV/atom. The calculation puts the density of states at the Fermi level at 1.066 states/eV/atom. For the calculated volume, the calculation gives 29.9 Å³/atom. Its magnetic moment is 0.00 μB/f.u.

Lattice parameters (Å, degrees): 3.779 5.441 14.685 90.00 97.37 90.00
Atoms (fractional coordinates):
La: 0.041 0.250 0.082
La: 0.233 0.250 0.467
La: 0.767 0.750 0.533
La: 0.959 0.750 0.918
Dy: 0.151 0.750 0.299
Dy: 0.849 0.250 0.701
Cd: 0.363 0.750 0.726
Cd: 0.438 0.250 0.878
Cd: 0.562 0.750 0.122
Cd: 0.637 0.250 0.274

***

No. 4
Computed, not measured: crystalline Mg2ZrBr at its relaxed geometry at the PBE level of DFT.

The raw formation energy comes out at 0.93 eV per formula unit. The calculation puts the total DFT energy (no corrections) at -3.121 eV/atom. The calculation puts the density of states at the Fermi level at 1.237 states/eV/atom. For the calculated volume, the calculation gives 22.7 Å³/atom. Its magnetic moment is 0.00 μB/f.u.

Lattice parameters (Å, degrees): 5.048 5.048 5.048 60.00 60.00 60.00
Atoms (fractional coordinates):
Mg: 0.000 0.000 0.000
Mg: 0.250 0.250 0.250
Zr: 0.750 0.750 0.750
Br: 0.500 0.500 0.500

***

What is the total DFT energy (no corrections) in the third record?
-3.499 eV/atom

***

The lowest calculated volume belongs to which entry?
TmLuZnFe